No. 1
Compound: Si3Pt
Source: Alexandria
Functional: PBE
Structure: optimized geometry

* magnetization: 0.0 Bohr magnetons per cell
* DFT total energy: -5.6106 eV per atom

```
data_Si3Pt
_symmetry_space_group_name_H-M 'P m m 2'
_symmetry_Int_Tables_number 25
_cell_length_a 3.402
_cell_length_b 4.896
_cell_length_c 3.760
_cell_angle_alpha 90.00
_cell_angle_beta 90.00
_cell_angle_gamma 90.00
loop_
_symmetry_equiv_pos_as_xyz
'x,y,z'
'-x,-y,z'
'-x,y,z'
'x,-y,z'
loop_
_atom_site_label
_atom_site_type_symbol
_atom_site_fract_x
_atom_site_fract_y
_atom_site_fract_z
Si1 Si 0.000 0.000 0.000
Si2 Si 0.000 0.500 0.196
Si3 Si 0.500 0.500 0.691
Pt1 Pt 0.500 0.000 0.535
```

***

No. 2
Compound: RbHg2I
Source: Alexandria
Functional: PBE
Structure: optimized geometry

* magnetization: 0.0 Bohr magnetons per cell
* offset from the most stable computed form: 43.1 meV per atom

```
data_RbHg2I
_symmetry_space_group_name_H-M 'C 1 2/m 1'
_symmetry_Int_Tables_number 12
_cell_length_a 12.788
_cell_length_b 4.832
_cell_length_c 11.673
_cell_angle_alpha 90.00
_cell_angle_beta 109.52
_cell_angle_gamma 90.00
loop_
_symmetry_equiv_pos_as_xyz
'x,y,z'
'-x,-y,-z'
'-x,y,-z'
'x,-y,z'
'x+1/2,y+1/2,z'
'-x+1/2,-y+1/2,-z'
'-x+1/2,y+1/2,-z'
'x+1/2,-y+1/2,z'
loop_
_atom_site_label
_atom_site_type_symbol
_atom_site_fract_x
_atom_site_fract_y
_atom_site_fract_z
Rb1 Rb 0.075 0.000 0.378
Hg1 Hg 0.113 0.500 0.134
Hg2 Hg 0.149 0.000 0.951
I1 I 0.154 0.500 0.648
```

***

No. 3
Compound: Pr3Nd8Sm
Source: Alexandria
Functional: PBE
Structure: optimized geometry

* magnetization: 0.0 Bohr magnetons per cell
* formation energy from the elements: 304 kJ/mol of formula units

```
data_Pr3Nd8Sm
_symmetry_space_group_name_H-M 'I 2 2 2'
_symmetry_Int_Tables_number 23
_cell_length_a 6.550
_cell_length_b 9.139
_cell_length_c 14.504
_cell_angle_alpha 90.00
_cell_angle_beta 90.00
_cell_angle_gamma 90.00
loop_
_symmetry_equiv_pos_as_xyz
'x,y,z'
'-x,-y,z'
'x,-y,-z'
'-x,y,-z'
'x+1/2,y+1/2,z+1/2'
'-x+1/2,-y+1/2,z+1/2'
'x+1/2,-y+1/2,-z+1/2'
'-x+1/2,y+1/2,-z+1/2'
loop_
_atom_site_label
_atom_site_type_symbol
_atom_site_fract_x
_atom_site_fract_y
_atom_site_fract_z
Pr1 Pr 0.000 0.000 0.000
Pr2 Pr 0.000 0.500 0.379
Nd1 Nd 0.132 0.333 0.097
Nd2 Nd 0.154 0.148 0.289
Sm1 Sm 0.000 0.000 0.500
```

***

No. 4
Compound: KBeCr
Source: Alexandria
Functional: PBE
Structure: optimized geometry

* magnetization: 0.7 Bohr magnetons per cell
* offset from the most stable computed form: 449.4 meV per atom
* formation energy from the elements: 376 kJ/mol of formula units

```
data_KBeCr
_symmetry_space_group_name_H-M 'P 3 m 1'
_symmetry_Int_Tables_number 156
_cell_length_a 2.7040
_cell_length_b 2.7040
_cell_length_c 7.7752
_cell_angle_alpha 90.00
_cell_angle_beta 90.00
_cell_angle_gamma 120.00
loop_
_symmetry_equiv_pos_as_xyz
'x,y,z'
'-y,x-y,z'
'-x+y,-x,z'
'-y,-x,z'
'-x+y,y,z'
'x,x-y,z'
loop_
_atom_site_label
_atom_site_type_symbol
_atom_site_fract_x
_atom_site_fract_y
_atom_site_fract_z
K1 K 0.0000 0.0000 0.0000
Be1 Be 0.6667 0.3333 0.3770
Cr1 Cr 0.3333 0.6667 0.6166
```

***

No. 5
Compound: HoSc3H8
Source: Alexandria
Functional: PBE
Structure: optimized geometry

* magnetization: 0.0 Bohr magnetons per cell
* DFT total energy: -4.8904 eV per atom

```
data_HoSc3H8
_symmetry_space_group_name_H-M 'P m -3 m'
_symmetry_Int_Tables_number 221
_symmetry_space_group_name_Hall '-P 4 2 3'
_cell_length_a 4.851
_cell_length_b 4.851
_cell_length_c 4.851
_cell_angle_alpha 90.00
_cell_angle_beta 90.00
_cell_angle_gamma 90.00
loop_
_atom_site_label
_atom_site_type_symbol
_atom_site_fract_x
_atom_site_fract_y
_atom_site_fract_z
Ho1 Ho 0.000 0.000 0.000
Sc1 Sc 0.000 0.500 0.500
H1 H 0.259 0.259 0.259
```

***

No. 6
Compound: Mg3BeI
Source: Alexandria
Functional: PBE
Structure: optimized geometry

* magnetization: 0.0 Bohr magnetons per cell
* offset from the most stable computed form: 0.0 meV per atom

```
data_Mg3BeI
_symmetry_space_group_name_H-M 'P m -3 m'
_symmetry_Int_Tables_number 221
_symmetry_space_group_name_Hall '-P 4 2 3'
_cell_length_a 5.019
_cell_length_b 5.019
_cell_length_c 5.019
_cell_angle_alpha 90.00
_cell_angle_beta 90.00
_cell_angle_gamma 90.00
loop_
_atom_site_label
_atom_site_type_symbol
_atom_site_fract_x
_atom_site_fract_y
_atom_site_fract_z
Mg1 Mg 0.000 0.000 0.500
Be1 Be 0.000 0.000 0.000
I1 I 0.500 0.500 0.500
```

***

- Look up the magnetization of the first one.
  0.0 Bohr magnetons per cell

***

- Look up the magnetization of the second one.
  0.0 Bohr magnetons per cell